a.
A plane-wave DFT calculation with PBE was carried out for a relaxed structure of LaErCdRu.

abc: 5.1428 5.1428 5.1428
angles: 60.00 60.00 60.00
Sites, in units of the cell vectors:
La: 0.0000 0.0000 0.0000
Er: 0.5000 0.5000 0.5000
Cd: 0.7500 0.7500 0.7500
Ru: 0.2500 0.2500 0.2500

## Properties
SG: F-43m
theoretical density: 8.97 g/cm³
DOS(E_F): 3.48 states/eV/f.u.
magnetic moment: 0.0 μB per formula unit

---

b.
A plane-wave DFT calculation with PBE was carried out for a relaxed structure of LaErCdRu.

abc: 3.5067 3.5067 7.9252
angles: 90.00 90.00 90.00
Sites, in units of the cell vectors:
La: 0.0000 0.0000 0.0000
Er: 0.0000 0.0000 0.5703
Cd: 0.5000 0.5000 0.3091
Ru: 0.5000 0.5000 0.7675

## Properties
SG: P4mm
theoretical density: 8.85 g/cm³
DOS(E_F): 4.46 states/eV/f.u.
magnetic moment: 0.0 μB per formula unit

---

Stability, descending: b, a